! AgMo3S | the Alexandria database | PBE | relaxed; values from VASP
! distance to the lowest polymorph of the same formula = 2038 meV/atom
! raw formation energy = 2654 meV per atom
! total energy = -0.385 Ry per atom
&SYSTEM
  ibrav = 0, nat = 5, ntyp = 3
/
ATOMIC_SPECIES
Ag 107.87 Ag.upf
Mo 95.94 Mo.upf
S 32.06 S.upf
ATOMIC_POSITIONS crystal
Ag 0.000 0.000 0.000
Mo 0.000 0.000 0.500
Mo 0.000 0.500 0.000
Mo 0.500 0.000 0.000
S 0.500 0.500 0.500
CELL_PARAMETERS angstrom
4.824 0.000 0.000
0.000 4.824 0.000
0.000 0.000 4.824